An optimized crystal structure of ThZrAs2Rh5. Source: Alexandria, functional GGA-PBE.

Summary:
space-group type = P4/mmm
E_tot = -7.456 eV/atom
M_tot = 0.0 Bohr magnetons per cell
E_form = -54 kJ per mole of atoms

a = 4.067 Å, b = 4.067 Å, c = 10.963 Å
α = 90.00°, β = 90.00°, γ = 90.00°
Fractional coordinates of all 9 atoms:
1 Rh 0.500 0.000 0.167
2 As 0.500 0.500 0.280
3 Th 0.000 0.000 0.500
4 Rh 0.000 0.500 0.167
5 Zr 0.000 0.000 0.000
6 Rh 0.500 0.000 0.833
7 Rh 0.000 0.500 0.833
8 As 0.500 0.500 0.720
9 Rh 0.500 0.500 0.500

An optimized crystal structure of Tb6Dy3Er. Source: Alexandria, functional GGA-PBE.

Summary:
polymorph energy (0 for the lowest one) = 0.0245 eV per atom
space-group type = Cmc2_1
E_tot = -4.467 eV/atom
M_tot = 0.0 Bohr magnetons per cell
E_form = 14 kJ per mole of atoms

a = 6.181 Å, b = 10.937 Å, c = 10.937 Å
α = 119.93°, β = 90.00°, γ = 90.00°
Fractional coordinates of all 20 atoms:
1 Tb 0.361 0.533 0.953
2 Tb 0.861 0.467 0.047
3 Tb 0.144 0.720 0.280
4 Dy 0.460 0.279 0.059
5 Tb 0.039 0.381 0.289
6 Tb 0.915 0.045 0.955
7 Tb 0.361 0.047 0.467
8 Tb 0.539 0.619 0.711
9 Dy 0.460 0.941 0.721
10 Dy 0.960 0.721 0.941
11 Dy 0.960 0.059 0.279
12 Dy 0.071 0.389 0.611
13 Tb 0.861 0.953 0.533
14 Tb 0.039 0.711 0.619
15 Tb 0.539 0.289 0.381
16 Tb 0.415 0.955 0.045
17 Dy 0.571 0.611 0.389
18 Er 0.137 0.204 0.796
19 Tb 0.644 0.280 0.720
20 Er 0.637 0.796 0.204

An optimized crystal structure of FeTeSN2. Source: Alexandria, functional GGA-PBE.

Summary:
polymorph energy (0 for the lowest one) = 0.0000 eV per atom
space-group type = P4/mmm
E_tot = -5.636 eV/atom
energy relative to the elements, uncorrected = 0.841 eV per atom
M_tot = 0.0 Bohr magnetons per cell

a = 3.639 Å, b = 3.639 Å, c = 5.705 Å
α = 90.00°, β = 90.00°, γ = 90.00°
Fractional coordinates of all 5 atoms:
1 N 0.000 0.500 0.000
2 N 0.500 0.000 0.000
3 Te 0.000 0.000 0.500
4 Fe 0.000 0.000 0.000
5 S 0.500 0.500 0.500